*P*
A plane-wave DFT calculation with PBEsol was carried out for a geometry-optimized Tl2InPb structure. Values from VASP.

Quantum ESPRESSO input file:
```
&SYSTEM
  ibrav = 0, nat = 4, ntyp = 3
/
ATOMIC_SPECIES
Tl 204.38 Tl.upf
In 114.82 In.upf
Pb 207.20 Pb.upf
ATOMIC_POSITIONS crystal
Tl 0.000 0.000 0.000
Tl 0.247 0.247 0.757
In 0.747 0.747 0.253
Pb 0.494 0.494 0.492
CELL_PARAMETERS angstrom
5.666 -1.722 0.000
5.666 1.722 0.000
-1.208 0.000 5.703
```

Properties
Space-group type: Cm, No. 8
Magnetic moment in μB per formula unit: 0.00

=====

*Q*
A plane-wave DFT calculation with PBEsol was carried out for a geometry-optimized Tl2InPb structure. Values from VASP.

Quantum ESPRESSO input file:
```
&SYSTEM
  ibrav = 0, nat = 4, ntyp = 3
/
ATOMIC_SPECIES
Tl 204.38 Tl.upf
In 114.82 In.upf
Pb 207.20 Pb.upf
ATOMIC_POSITIONS crystal
Tl 0.000 0.000 0.000
Tl 0.500 0.500 0.000
In 0.000 0.500 0.500
Pb 0.500 0.000 0.500
CELL_PARAMETERS angstrom
3.702 0.000 0.000
0.000 5.458 0.000
0.000 0.000 5.542
```

Properties
Space-group type: Pmmm, No. 47
Magnetic moment in μB per formula unit: 0.00

=====

*P* is favored, and the nearest alternative lies 0.015 eV/atom above it.

=====

*P*
A plane-wave DFT calculation with PBEsol was carried out for a geometry-optimized Tl2InPb structure. Values from VASP.

Quantum ESPRESSO input file:
```
&SYSTEM
  ibrav = 0, nat = 4, ntyp = 3
/
ATOMIC_SPECIES
Tl 204.38 Tl.upf
In 114.82 In.upf
Pb 207.20 Pb.upf
ATOMIC_POSITIONS crystal
Tl 0.000 0.500 0.000
Tl 0.500 0.000 0.000
In 0.000 0.000 0.500
Pb 0.500 0.500 0.500
CELL_PARAMETERS angstrom
3.300 -5.375 0.000
3.300 5.375 0.000
-1.031 0.000 3.150
```

Properties
Space-group type: C2/m, No. 12
Magnetic moment in μB per formula unit: 0.00

=====

*Q*
A plane-wave DFT calculation with PBEsol was carried out for a geometry-optimized Tl2InPb structure. Values from VASP.

Quantum ESPRESSO input file:
```
&SYSTEM
  ibrav = 0, nat = 4, ntyp = 3
/
ATOMIC_SPECIES
Tl 204.38 Tl.upf
In 114.82 In.upf
Pb 207.20 Pb.upf
ATOMIC_POSITIONS crystal
Tl 0.000 0.000 0.000
Tl 0.249 0.249 0.746
In 0.748 0.748 0.244
Pb 0.496 0.496 0.489
CELL_PARAMETERS angstrom
2.965 -1.697 0.000
2.965 1.697 0.000
-2.042 0.000 11.090
```

Properties
Space-group type: Cm, No. 8
Magnetic moment in μB per formula unit: 0.00

=====

*R*
A plane-wave DFT calculation with PBEsol was carried out for a geometry-optimized Tl2InPb structure. Values from VASP.

Quantum ESPRESSO input file:
```
&SYSTEM
  ibrav = 0, nat = 4, ntyp = 3
/
ATOMIC_SPECIES
Tl 204.38 Tl.upf
In 114.82 In.upf
Pb 207.20 Pb.upf
ATOMIC_POSITIONS crystal
Tl 0.000 0.000 0.000
Tl 0.103 0.500 0.688
In 0.584 0.500 0.193
Pb 0.538 0.000 0.491
CELL_PARAMETERS angstrom
3.365 0.000 0.000
0.000 5.562 0.000
-0.443 0.000 5.990
```

Properties
Space-group type: Pm, No. 6
Magnetic moment in μB per formula unit: 0.00

=====

*Q* is favored, and the nearest alternative lies 0.014 eV/atom above it.

=====

*P*
A plane-wave DFT calculation with PBEsol was carried out for a geometry-optimized TlInPb2 structure. Values from VASP.

Quantum ESPRESSO input file:
```
&SYSTEM
  ibrav = 0, nat = 4, ntyp = 3
/
ATOMIC_SPECIES
Tl 204.38 Tl.upf
In 114.82 In.upf
Pb 207.20 Pb.upf
ATOMIC_POSITIONS crystal
Tl 0.000 0.000 0.000
In 0.500 0.500 0.241
Pb 0.000 0.000 0.487
Pb 0.500 0.500 0.744
CELL_PARAMETERS angstrom
3.520 0.000 0.000
0.000 4.671 0.000
0.000 0.000 6.873
```

Properties
Space-group type: Pmm2, No. 25
Magnetic moment in μB per formula unit: 0.00

=====

*Q*
A plane-wave DFT calculation with PBEsol was carried out for a geometry-optimized TlInPb2 structure. Values from VASP.

Quantum ESPRESSO input file:
```
&SYSTEM
  ibrav = 0, nat = 4, ntyp = 3
/
ATOMIC_SPECIES
Tl 204.38 Tl.upf
In 114.82 In.upf
Pb 207.20 Pb.upf
ATOMIC_POSITIONS crystal
Tl 0.000 0.000 0.000
In 0.500 0.500 0.000
Pb 0.000 0.500 0.500
Pb 0.500 0.000 0.500
CELL_PARAMETERS angstrom
3.360 -5.414 0.000
3.360 5.414 0.000
-1.248 0.000 3.110
```

Properties
Space-group type: C2/m, No. 12
Magnetic moment in μB per formula unit: 0.00

=====

*R*
A plane-wave DFT calculation with PBEsol was carried out for a geometry-optimized TlInPb2 structure. Values from VASP.

Quantum ESPRESSO input file:
```
&SYSTEM
  ibrav = 0, nat = 4, ntyp = 3
/
ATOMIC_SPECIES
Tl 204.38 Tl.upf
In 114.82 In.upf
Pb 207.20 Pb.upf
ATOMIC_POSITIONS crystal
Tl 0.000 0.000 0.000
In 0.500 0.500 0.757
Pb 0.000 0.000 0.510
Pb 0.500 0.500 0.256
CELL_PARAMETERS angstrom
1.838 -2.748 0.000
1.838 2.748 0.000
0.000 0.000 11.242
```

Properties
Space-group type: Cmm2, No. 35
Magnetic moment in μB per formula unit: 0.00

=====

*P* is favored, and the nearest alternative lies 0.021 eV/atom above it.

=====

*P*
A plane-wave DFT calculation with PBEsol was carried out for a geometry-optimized TlInPb2 structure. Values from VASP.

Quantum ESPRESSO input file:
```
&SYSTEM
  ibrav = 0, nat = 4, ntyp = 3
/
ATOMIC_SPECIES
Tl 204.38 Tl.upf
In 114.82 In.upf
Pb 207.20 Pb.upf
ATOMIC_POSITIONS crystal
Tl 0.000 0.000 0.000
In 0.000 0.000 0.500
Pb 0.500 0.500 0.257
Pb 0.500 0.500 0.743
CELL_PARAMETERS angstrom
3.458 0.000 0.000
0.000 3.458 0.000
0.000 0.000 9.417
```

Properties
Space-group type: P4/mmm, No. 123
Magnetic moment in μB per formula unit: 0.00

=====

*Q*
A plane-wave DFT calculation with PBEsol was carried out for a geometry-optimized TlInPb2 structure. Values from VASP.

Quantum ESPRESSO input file:
```
&SYSTEM
  ibrav = 0, nat = 4, ntyp = 3
/
ATOMIC_SPECIES
Tl 204.38 Tl.upf
In 114.82 In.upf
Pb 207.20 Pb.upf
ATOMIC_POSITIONS crystal
Tl 0.000 0.000 0.000
In 0.500 0.500 0.241
Pb 0.000 0.000 0.486
Pb 0.500 0.500 0.741
CELL_PARAMETERS angstrom
3.589 0.000 0.000
0.000 3.589 0.000
0.000 0.000 8.769
```

Properties
Space-group type: P4mm, No. 99
Magnetic moment in μB per formula unit: 0.00

=====

*R*
A plane-wave DFT calculation with PBEsol was carried out for a geometry-optimized TlInPb2 structure. Values from VASP.

Quantum ESPRESSO input file:
```
&SYSTEM
  ibrav = 0, nat = 4, ntyp = 3
/
ATOMIC_SPECIES
Tl 204.38 Tl.upf
In 114.82 In.upf
Pb 207.20 Pb.upf
ATOMIC_POSITIONS crystal
Tl 0.000 0.000 0.000
In 0.500 0.500 0.000
Pb 0.259 0.759 0.500
Pb 0.741 0.241 0.500
CELL_PARAMETERS angstrom
-1.842 2.777 5.527
1.842 -2.777 5.527
1.842 2.777 -5.527
```

Properties
Space-group type: Immm, No. 71
Magnetic moment in μB per formula unit: 0.00

=====

*S*
A plane-wave DFT calculation with PBEsol was carried out for a geometry-optimized TlInPb2 structure. Values from VASP.

Quantum ESPRESSO input file:
```
&SYSTEM
  ibrav = 0, nat = 4, ntyp = 3
/
ATOMIC_SPECIES
Tl 204.38 Tl.upf
In 114.82 In.upf
Pb 207.20 Pb.upf
ATOMIC_POSITIONS crystal
Tl 0.000 0.000 0.000
In 0.000 0.000 0.500
Pb 0.500 0.500 0.255
Pb 0.500 0.500 0.745
CELL_PARAMETERS angstrom
1.719 -2.859 0.000
1.719 2.859 0.000
0.000 0.000 11.582
```

Properties
Space-group type: Cmmm, No. 65
Magnetic moment in μB per formula unit: 0.00

=====

*P* is favored, and the nearest alternative lies 0.007 eV/atom above it.

=====

*P*
A plane-wave DFT calculation with PBEsol was carried out for a geometry-optimized TlInPb2 structure. Values from VASP.

Quantum ESPRESSO input file:
```
&SYSTEM
  ibrav = 0, nat = 4, ntyp = 3
/
ATOMIC_SPECIES
Tl 204.38 Tl.upf
In 114.82 In.upf
Pb 207.20 Pb.upf
ATOMIC_POSITIONS crystal
Tl 0.000 0.000 0.000
In 0.253 0.752 0.499
Pb 0.505 0.509 0.995
Pb 0.753 0.248 0.496
CELL_PARAMETERS angstrom
3.478 0.000 0.000
0.007 5.879 0.000
1.716 1.020 5.542
```

Properties
Space-group type: P1, No. 1
Magnetic moment in μB per formula unit: 0.00

=====

*Q*
A plane-wave DFT calculation with PBEsol was carried out for a geometry-optimized TlInPb2 structure. Values from VASP.

Quantum ESPRESSO input file:
```
&SYSTEM
  ibrav = 0, nat = 4, ntyp = 3
/
ATOMIC_SPECIES
Tl 204.38 Tl.upf
In 114.82 In.upf
Pb 207.20 Pb.upf
ATOMIC_POSITIONS crystal
Tl 0.000 0.000 0.000
In 0.500 0.500 0.500
Pb 0.250 0.250 0.250
Pb 0.750 0.750 0.750
CELL_PARAMETERS angstrom
0.000 3.826 3.826
3.826 0.000 3.826
3.826 3.826 0.000
```

Properties
Space-group type: Fm-3m, No. 225
Magnetic moment in μB per formula unit: 0.00

=====

*P* is favored, and the nearest alternative lies 0.024 eV/atom above it.

=====

*P*
A plane-wave DFT calculation with PBEsol was carried out for a geometry-optimized InPbW2 structure. Values from VASP.

Quantum ESPRESSO input file:
```
&SYSTEM
  ibrav = 0, nat = 4, ntyp = 3
/
ATOMIC_SPECIES
In 114.82 In.upf
Pb 207.20 Pb.upf
W 183.84 W.upf
ATOMIC_POSITIONS crystal
In 0.000 0.000 0.000
Pb 0.500 0.500 0.320
W 0.000 0.000 0.570
W 0.500 0.500 0.761
CELL_PARAMETERS angstrom
1.645 -2.447 0.000
1.645 2.447 0.000
0.000 0.000 10.250
```

Properties
Space-group type: Cmm2, No. 35
Magnetic moment in μB per formula unit: 0.00

=====

*Q*
A plane-wave DFT calculation with PBEsol was carried out for a geometry-optimized InPbW2 structure. Values from VASP.

Quantum ESPRESSO input file:
```
&SYSTEM
  ibrav = 0, nat = 4, ntyp = 3
/
ATOMIC_SPECIES
In 114.82 In.upf
Pb 207.20 Pb.upf
W 183.84 W.upf
ATOMIC_POSITIONS crystal
In 0.000 0.000 0.000
Pb 0.000 0.000 0.500
W 0.500 0.500 0.237
W 0.500 0.500 0.763
CELL_PARAMETERS angstrom
3.332 0.000 0.000
0.000 3.332 0.000
0.000 0.000 6.616
```

Properties
Space-group type: P4/mmm, No. 123
Magnetic moment in μB per formula unit: 0.00

=====

*P* is favored, and the nearest alternative lies 0.523 eV/atom above it.